[1]
HoZnNO | PBE | optimized geometry Values from VASP.

```
&SYSTEM
  ibrav = 0, nat = 8, ntyp = 4
/
ATOMIC_SPECIES
Zn 65.41 Zn.upf
N 14.01 N.upf
O 16.00 O.upf
Ho 164.93 Ho.upf
ATOMIC_POSITIONS crystal
Zn 0.500 0.974 0.194
Zn 0.500 0.474 0.806
N 0.000 0.425 0.674
N 0.000 0.925 0.326
O 0.500 0.888 0.863
O 0.500 0.388 0.137
Ho 0.000 0.467 0.306
Ho 0.000 0.967 0.694
CELL_PARAMETERS angstrom
-1.843 -3.192 0.000
0.000 0.000 5.076
-5.234 3.022 0.000
```

Computed properties:
Volume in A^3/atom: 14.13
Offset from the most stable computed form in eV/atom: 0.000
Mass density in g/cm³: 7.6

---

[2]
HoZnNO | PBE | optimized geometry Values from VASP.

```
&SYSTEM
  ibrav = 0, nat = 8, ntyp = 4
/
ATOMIC_SPECIES
O 16.00 O.upf
Zn 65.41 Zn.upf
Ho 164.93 Ho.upf
N 14.01 N.upf
ATOMIC_POSITIONS crystal
O 0.500 0.392 0.166
O 0.500 0.892 0.834
Zn 0.000 0.007 0.649
Zn 0.000 0.507 0.351
Ho 0.500 0.503 0.811
Ho 0.500 0.003 0.189
N 0.000 0.853 0.347
N 0.000 0.353 0.653
CELL_PARAMETERS angstrom
-2.867 0.733 1.997
-0.828 -5.522 0.838
3.395 0.219 4.795
```

Computed properties:
Volume in A^3/atom: 14.82
Offset from the most stable computed form in eV/atom: 0.073
Mass density in g/cm³: 7.3

---

[3]
HoZnNO | PBE | optimized geometry Values from VASP.

```
&SYSTEM
  ibrav = 0, nat = 8, ntyp = 4
/
ATOMIC_SPECIES
O 16.00 O.upf
Ho 164.93 Ho.upf
N 14.01 N.upf
Zn 65.41 Zn.upf
ATOMIC_POSITIONS crystal
O 0.500 0.500 0.000
O 0.000 0.000 0.000
Ho 0.500 0.500 0.500
Ho 0.000 0.000 0.500
N 0.000 0.500 0.500
N 0.500 0.000 0.500
Zn 0.000 0.500 0.000
Zn 0.500 0.000 0.000
CELL_PARAMETERS angstrom
-4.028 2.535 0.043
-2.363 -3.781 1.664
0.849 1.279 4.112
```

Computed properties:
Volume in A^3/atom: 12.43
Offset from the most stable computed form in eV/atom: 0.079
Mass density in g/cm³: 8.7

---

[4]
HoZnNO | PBE | optimized geometry Values from VASP.

```
&SYSTEM
  ibrav = 0, nat = 8, ntyp = 4
/
ATOMIC_SPECIES
O 16.00 O.upf
Zn 65.41 Zn.upf
Ho 164.93 Ho.upf
N 14.01 N.upf
ATOMIC_POSITIONS crystal
O 0.750 0.250 0.000
O 0.250 0.750 0.000
Zn 0.250 0.750 0.500
Zn 0.750 0.250 0.500
Ho 0.250 0.250 0.152
Ho 0.750 0.750 0.848
N 0.250 0.250 0.647
N 0.750 0.750 0.353
CELL_PARAMETERS angstrom
3.655 0.000 0.000
0.000 3.655 0.000
0.000 0.000 7.723
```

Computed properties:
Volume in A^3/atom: 12.90
Offset from the most stable computed form in eV/atom: 0.118
Mass density in g/cm³: 8.4

---

[5]
HoZrNO | PBE | optimized geometry Values from VASP.

```
&SYSTEM
  ibrav = 0, nat = 16, ntyp = 4
/
ATOMIC_SPECIES
Zr 91.22 Zr.upf
Ho 164.93 Ho.upf
N 14.01 N.upf
O 16.00 O.upf
ATOMIC_POSITIONS crystal
Zr 0.051 0.058 0.610
Zr 0.551 0.442 0.610
Zr 0.551 0.942 0.390
Zr 0.051 0.558 0.390
Ho 0.551 0.920 0.866
Ho 0.051 0.080 0.134
Ho 0.551 0.420 0.134
Ho 0.051 0.580 0.866
N 0.551 0.558 0.868
N 0.051 0.442 0.132
N 0.051 0.942 0.868
N 0.551 0.058 0.132
O 0.050 0.392 0.636
O 0.550 0.108 0.636
O 0.550 0.608 0.364
O 0.050 0.892 0.364
CELL_PARAMETERS angstrom
-2.114 3.085 2.917
-5.697 -1.484 -2.559
-0.930 -5.749 5.406
```

Computed properties:
Volume in A^3/atom: 15.12
Offset from the most stable computed form in eV/atom: 0.067
Mass density in g/cm³: 7.9

---

[6]
HoZrNO | PBE | optimized geometry Values from VASP.

```
&SYSTEM
  ibrav = 0, nat = 8, ntyp = 4
/
ATOMIC_SPECIES
Zr 91.22 Zr.upf
N 14.01 N.upf
Ho 164.93 Ho.upf
O 16.00 O.upf
ATOMIC_POSITIONS crystal
Zr 0.250 0.250 0.127
Zr 0.750 0.750 0.873
N 0.750 0.750 0.323
N 0.250 0.250 0.677
Ho 0.250 0.750 0.500
Ho 0.750 0.250 0.500
O 0.750 0.250 0.000
O 0.250 0.750 0.000
CELL_PARAMETERS angstrom
-2.236 2.611 -1.953
-2.960 -0.631 2.544
2.585 5.480 4.367
```

Computed properties:
Volume in A^3/atom: 14.59
Offset from the most stable computed form in eV/atom: 0.810
Mass density in g/cm³: 8.1

---

[7]
HoZrNO | PBE | optimized geometry Values from VASP.

```
&SYSTEM
  ibrav = 0, nat = 8, ntyp = 4
/
ATOMIC_SPECIES
Ho 164.93 Ho.upf
O 16.00 O.upf
N 14.01 N.upf
Zr 91.22 Zr.upf
ATOMIC_POSITIONS crystal
Ho 0.000 0.173 0.518
Ho 0.000 0.827 0.018
O 0.500 0.707 0.838
O 0.500 0.293 0.338
N 0.000 0.821 0.425
N 0.000 0.179 0.925
Zr 0.500 0.633 0.473
Zr 0.500 0.367 0.973
CELL_PARAMETERS angstrom
3.546 0.000 0.000
0.000 6.204 0.000
0.000 0.000 5.883
```

Computed properties:
Volume in A^3/atom: 16.18
Offset from the most stable computed form in eV/atom: 0.178
Mass density in g/cm³: 7.3

---

[8]
HoZrNO | PBE | optimized geometry Values from VASP.

```
&SYSTEM
  ibrav = 0, nat = 8, ntyp = 4
/
ATOMIC_SPECIES
Zr 91.22 Zr.upf
O 16.00 O.upf
N 14.01 N.upf
Ho 164.93 Ho.upf
ATOMIC_POSITIONS crystal
Zr 0.000 0.938 0.660
Zr 0.000 0.438 0.340
O 0.500 0.439 0.182
O 0.500 0.939 0.818
N 0.000 0.438 0.652
N 0.000 0.938 0.348
Ho 0.500 0.439 0.836
Ho 0.500 0.939 0.164
CELL_PARAMETERS angstrom
0.786 -0.424 -3.738
4.149 2.036 0.642
2.755 -6.010 1.260
```

Computed properties:
Volume in A^3/atom: 15.09
Offset from the most stable computed form in eV/atom: 0.000
Mass density in g/cm³: 7.9